Here is Sm6IrS5 after structural relaxation from the Alexandria database. Energies are from GGA-PBE.

Computed properties:
calculated total energy = -158.7 eV/cell
calculated volume = 23.5 Å³ per atom
spin magnetization = 0.00 μB/cell

Unit cell a=7.0331 b=12.1540 c=6.9973 alpha=90.00 beta=109.52 gamma=90.00
Space group C2/m (No. 12)
Asymmetric unit:
Sm  0.2457  0.1644  0.2456
Sm  0.2465  0.0000  0.7523
Ir  0.0000  0.0000  0.0000
S  0.0000  0.1705  0.5000
S  0.0000  0.3337  0.0000
S  0.0000  0.5000  0.5000

---

Here is TiReN3 after structural relaxation from the Alexandria database. Energies are from GGA-PBE.

Computed properties:
calculated total energy = -185.3 eV/cell
calculated volume = 11.2 Å³ per atom
spin magnetization = 0.00 μB/cell

Unit cell a=3.3562 b=3.3562 c=19.8160 alpha=90.00 beta=90.00 gamma=90.00
Space group I-4m2 (No. 119)
Asymmetric unit:
Ti  0.0000  0.0000  0.1184
Re  0.0000  0.0000  0.5000
Re  0.0000  0.5000  0.2500
N  0.0000  0.1931  0.3366
N  0.0000  0.5000  0.5511